# 1
Pu3SnPd2 | PBE | relaxed

Output
Space group   R-3c, No. 167
Total magnetic moment   17.8 μB per formula unit
Mass density   10.9 g cm⁻³
Offset from the most stable computed form   203.9 meV/atom

Cell lengths 7.2612, 7.2612, 7.2612 Å; angles 69.58, 69.58, 69.58 degrees
Site moments in Bohr magnetons follow the coordinates.
Element x y z (fractional)
Pd 0.6654 0.6654 0.6654  -0.03
Pd 0.1654 0.1654 0.1654  -0.03
Pd 0.8346 0.8346 0.8346  -0.03
Pd 0.3346 0.3346 0.3346  -0.03
Pu 0.5606 0.9394 0.2500  5.49
Pu 0.9394 0.2500 0.5606  5.49
Pu 0.0606 0.7500 0.4394  5.49
Pu 0.4394 0.0606 0.7500  5.49
Pu 0.2500 0.5606 0.9394  5.49
Pu 0.7500 0.4394 0.0606  5.49
Sn 0.0000 0.0000 0.0000  -0.05
Sn 0.5000 0.5000 0.5000  -0.05

# 2
Pu2SnPd6 | PBE | relaxed

Output
Space group   P-3m1, No. 164
Total magnetic moment   10.5 μB per formula unit
Mass density   11.8 g cm⁻³
Offset from the most stable computed form   0.0 meV/atom

Cell lengths 6.0899, 5.7608, 5.7608 Å; angles 60.02, 89.98, 89.98 degrees
Site moments in Bohr magnetons follow the coordinates.
Element x y z (fractional)
Pd 0.3222 0.8245 0.8245  -0.03
Pd 0.3218 0.8245 0.3510  -0.03
Pd 0.6782 0.1755 0.6490  -0.03
Pd 0.6778 0.1755 0.1755  -0.03
Pd 0.6782 0.6490 0.1755  -0.03
Pd 0.3218 0.3510 0.8245  -0.03
Pu 0.1804 0.3333 0.3333  5.14
Pu 0.8196 0.6667 0.6667  5.14
Sn 0.0000 0.0000 0.0000  0.00